This record from Alexandria describes crystalline Co2ReAs at its relaxed geometry. The functional is PBE.

SG: Pm
V in Å³ per cell: 104.1
Uncorrected energy in eV per atom: -7.8069
DOS at the Fermi energy in states/eV/atom: 0.867

Structure (extended XYZ):
```
8
Lattice="4.216 0.000 0.000 0.000 2.727 0.000 -0.863 0.000 9.056" Properties=species:S:1:pos:R:3 pbc="T T T"
Co 0.000 0.000 0.000
Co 0.002 0.000 4.402
Co 2.096 0.000 2.846
Co 2.304 1.363 7.210
Re 0.000 1.363 2.210
Re 2.140 1.363 0.605
As 0.356 0.000 7.098
As 2.136 1.363 4.808
```